The following is a PBE-GGA calculation of Mg2CoTc after structural relaxation, from Alexandria via LeMat-Bulk.

```
data_Mg2CoTc
_symmetry_space_group_name_H-M 'P 4/m m m'
_symmetry_Int_Tables_number 123
_symmetry_space_group_name_Hall '-P 4 2'
_cell_length_a 2.677
_cell_length_b 2.677
_cell_length_c 8.462
_cell_angle_alpha 90.00
_cell_angle_beta 90.00
_cell_angle_gamma 90.00
loop_
_atom_site_label
_atom_site_fract_x
_atom_site_fract_y
_atom_site_fract_z
Mg1 0.000 0.000 0.234
Co1 0.500 0.500 0.000
Tc1 0.500 0.500 0.500
```

Values from the calculation:
Energy above the lowest structure with this stoichiometry, meV/atom: 172
Magnetization, μB/f.u.: 1.37
Final energy, eV/atom: -4.919
Fermi-level density of states, states/eV per atom: 0.938
Formation enthalpy at 0 K, kJ/mol of formula units: 95

The following is a PBE-GGA calculation of MgCoTc2 after structural relaxation, from Alexandria via LeMat-Bulk.

```
data_MgCoTc2
_symmetry_space_group_name_H-M 'P 4 m m'
_symmetry_Int_Tables_number 99
_symmetry_space_group_name_Hall 'P 4 -2'
_cell_length_a 3.045
_cell_length_b 3.045
_cell_length_c 6.219
_cell_angle_alpha 90.00
_cell_angle_beta 90.00
_cell_angle_gamma 90.00
loop_
_atom_site_label
_atom_site_fract_x
_atom_site_fract_y
_atom_site_fract_z
Mg1 0.000 0.000 0.000
Co1 0.500 0.500 0.753
Tc1 0.000 0.000 0.518
Tc2 0.500 0.500 0.290
```

Values from the calculation:
Magnetization, μB/f.u.: 1.17
Final energy, eV/atom: -7.217
Fermi-level density of states, states/eV per atom: 0.812
Formation enthalpy at 0 K, kJ/mol of formula units: 55

The following is a PBE-GGA calculation of Mg2CoTc after structural relaxation, from Alexandria via LeMat-Bulk.

```
data_Mg2CoTc
_symmetry_space_group_name_H-M 'R -3 m'
_symmetry_Int_Tables_number 166
_symmetry_space_group_name_Hall '-R 3 2"'
_cell_length_a 2.8054
_cell_length_b 2.8054
_cell_length_c 27.0165
_cell_angle_alpha 90.00
_cell_angle_beta 90.00
_cell_angle_gamma 120.00
loop_
_atom_site_label
_atom_site_fract_x
_atom_site_fract_y
_atom_site_fract_z
Mg1 0.0000 0.0000 0.2463
Co1 0.0000 0.0000 0.5000
Tc1 0.0000 0.0000 0.0000
```

Values from the calculation:
Energy above the lowest structure with this stoichiometry, meV/atom: 232
Magnetization, μB/f.u.: 1.40
Final energy, eV/atom: -4.859
Fermi-level density of states, states/eV per atom: 1.131
Formation enthalpy at 0 K, kJ/mol of formula units: 118

The following is a PBE-GGA calculation of MgCoTc after structural relaxation, from Alexandria via LeMat-Bulk.

```
data_MgCoTc
_symmetry_space_group_name_H-M 'P 4/n m m'
_symmetry_Int_Tables_number 129
_cell_length_a 3.727
_cell_length_b 3.727
_cell_length_c 6.770
_cell_angle_alpha 90.00
_cell_angle_beta 90.00
_cell_angle_gamma 90.00
loop_
_symmetry_equiv_pos_as_xyz
'x,y,z'
'-x,-y,-z'
'-y+1/2,x,z'
'y+1/2,-x,-z'
'-x+1/2,-y+1/2,z'
'x+1/2,y+1/2,-z'
'y,-x+1/2,z'
'-y,x+1/2,-z'
'x+1/2,-y,-z'
'-x+1/2,y,z'
'-y,-x,-z'
'y,x,z'
'-x,y+1/2,-z'
'x,-y+1/2,z'
'y+1/2,x+1/2,-z'
'-y+1/2,-x+1/2,z'
loop_
_atom_site_label
_atom_site_fract_x
_atom_site_fract_y
_atom_site_fract_z
Mg1 0.250 0.250 0.145
Co1 0.250 0.250 0.742
Tc1 0.250 0.750 0.500
```

Values from the calculation:
Energy above the lowest structure with this stoichiometry, meV/atom: 207
Magnetization, μB/f.u.: 0.00
Final energy, eV/atom: -6.082
Fermi-level density of states, states/eV per atom: 1.265
Formation enthalpy at 0 K, kJ/mol of formula units: 79

The following is a PBE-GGA calculation of Mg2CoTc after structural relaxation, from Alexandria via LeMat-Bulk.

```
data_Mg2CoTc
_symmetry_space_group_name_H-M 'C m m m'
_symmetry_Int_Tables_number 65
_symmetry_space_group_name_Hall '-C 2 2'
_cell_length_a 5.449
_cell_length_b 8.519
_cell_length_c 2.648
_cell_angle_alpha 90.00
_cell_angle_beta 90.00
_cell_angle_gamma 90.00
loop_
_atom_site_label
_atom_site_fract_x
_atom_site_fract_y
_atom_site_fract_z
Mg1 0.250 0.250 0.000
Co1 0.000 0.000 0.500
Tc1 0.000 0.500 0.500
```

Values from the calculation:
Energy above the lowest structure with this stoichiometry, meV/atom: 210
Magnetization, μB/f.u.: 1.82
Final energy, eV/atom: -4.881
Fermi-level density of states, states/eV per atom: 0.896
Formation enthalpy at 0 K, kJ/mol of formula units: 110

The following is a PBE-GGA calculation of MgCoTc4 after structural relaxation, from Alexandria via LeMat-Bulk.

```
data_MgCoTc4
_symmetry_space_group_name_H-M 'F -4 3 m'
_symmetry_Int_Tables_number 216
_symmetry_space_group_name_Hall 'F -4 2 3'
_cell_length_a 7.227
_cell_length_b 7.227
_cell_length_c 7.227
_cell_angle_alpha 90.00
_cell_angle_beta 90.00
_cell_angle_gamma 90.00
loop_
_atom_site_label
_atom_site_fract_x
_atom_site_fract_y
_atom_site_fract_z
Mg1 0.000 0.000 0.000
Co1 0.250 0.250 0.250
Tc1 0.125 0.125 0.625
```

Values from the calculation:
Magnetization, μB/f.u.: 1.92
Final energy, eV/atom: -7.940
Fermi-level density of states, states/eV per atom: 1.059
Formation enthalpy at 0 K, kJ/mol of formula units: 244

The following is a PBE-GGA calculation of MgCoTc after structural relaxation, from Alexandria via LeMat-Bulk.

```
data_MgCoTc
_symmetry_space_group_name_H-M 'P 63/m m c'
_symmetry_Int_Tables_number 194
_symmetry_space_group_name_Hall '-P 6c 2c'
_cell_length_a 4.6782
_cell_length_b 4.6782
_cell_length_c 8.5880
_cell_angle_alpha 90.00
_cell_angle_beta 90.00
_cell_angle_gamma 120.00
loop_
_atom_site_label
_atom_site_fract_x
_atom_site_fract_y
_atom_site_fract_z
Mg1 0.3333 0.6667 0.2500
Co1 0.0000 0.0000 0.0000
Tc1 0.0000 0.0000 0.2500
```

Values from the calculation:
Energy above the lowest structure with this stoichiometry, meV/atom: 1862
Magnetization, μB/f.u.: 2.08
Final energy, eV/atom: -4.427
Fermi-level density of states, states/eV per atom: 1.406
Formation enthalpy at 0 K, kJ/mol of formula units: 558

The following is a PBE-GGA calculation of Mg3CoTc after structural relaxation, from Alexandria via LeMat-Bulk.

```
data_Mg3CoTc
_symmetry_space_group_name_H-M 'P m -3 m'
_symmetry_Int_Tables_number 221
_symmetry_space_group_name_Hall '-P 4 2 3'
_cell_length_a 4.636
_cell_length_b 4.636
_cell_length_c 4.636
_cell_angle_alpha 90.00
_cell_angle_beta 90.00
_cell_angle_gamma 90.00
loop_
_atom_site_label
_atom_site_fract_x
_atom_site_fract_y
_atom_site_fract_z
Mg1 0.000 0.000 0.500
Co1 0.000 0.000 0.000
Tc1 0.500 0.500 0.500
```

Values from the calculation:
Energy above the lowest structure with this stoichiometry, meV/atom: 0
Magnetization, μB/f.u.: 3.23
Final energy, eV/atom: -3.572
Fermi-level density of states, states/eV per atom: 0.785
Formation enthalpy at 0 K, kJ/mol of formula units: 424